P | SmH6Rh2: relaxed, GGA-PBE.

Structure (POSCAR):
```
SmH6Rh2
1.0
4.755 0.000 0.000
-2.377 4.118 0.000
0.000 0.000 4.142
Sm H Rh
1 6 2
direct
0.000 0.000 0.000
0.000 0.500 0.230
0.000 0.500 0.770
0.500 0.000 0.230
0.500 0.000 0.770
0.500 0.500 0.230
0.500 0.500 0.770
0.333 0.667 0.500
0.667 0.333 0.500
```

Calculated values
SG   P6/mmm

***

Q | SmH6Rh2: relaxed, GGA-PBE.

Structure (POSCAR):
```
SmH6Rh2
1.0
2.840 -2.842 0.000
2.840 2.842 0.000
-2.706 0.000 5.231
Sm H Rh
1 6 2
direct
0.000 0.000 0.000
0.115 0.589 0.184
0.233 0.233 0.501
0.411 0.885 0.816
0.589 0.115 0.184
0.767 0.767 0.499
0.885 0.411 0.816
0.254 0.746 0.500
0.746 0.254 0.500
```

Calculated values
SG   C2/m

***

Relative to the most stable one, in meV/atom, the structures come out at P 13; Q 0.

***

P | SnHRh3: relaxed, GGA-PBE.

Structure (POSCAR):
```
SnHRh3
1.0
2.790 0.000 0.000
0.000 2.626 6.338
0.000 -2.626 6.338
Sn H Rh
1 1 3
direct
0.000 0.000 0.000
0.500 0.652 0.652
0.000 0.422 0.948
0.000 0.948 0.422
0.500 0.823 0.823
```

Calculated values
SG   Amm2

***

Q | SnHRh3: relaxed, GGA-PBE.

Structure (POSCAR):
```
SnHRh3
1.0
3.953 -4.118 0.000
3.953 4.118 0.000
-0.010 0.000 3.985
Sn H Rh
2 2 6
direct
0.235 0.765 0.000
0.765 0.235 0.000
0.251 0.251 0.507
0.539 0.539 0.103
0.257 0.257 0.008
0.502 0.998 0.501
0.504 0.504 0.524
0.752 0.752 0.006
0.998 0.502 0.501
0.999 0.999 0.505
```

Calculated values
SG   Cm

***

Relative to the most stable one, in meV/atom, the structures come out at P 531; Q 0.